# 1
LaHoCoPd: relaxed, PBE.

Geometry as POSCAR:
```
LaHoCoPd
1.0
0.000 3.511 3.511
3.511 0.000 3.511
3.511 3.511 0.000
La Ho Co Pd
1 1 1 1
Direct
0.000 0.000 0.000
0.500 0.500 0.500
0.750 0.750 0.750
0.250 0.250 0.250
```

Computed properties:
N(E_F), states/eV per cell: 3.1
Formation energy, meV/atom: -393
Size of the total moment, μB/f.u.: 0.35
Raw total energy, eV per cell: -23.38


# 2
Dy14YTh: relaxed, PBE.

Geometry as POSCAR:
```
Dy14YTh
1.0
7.094 0.000 0.000
0.000 7.094 0.000
0.000 0.000 10.028
Dy Y Th
14 1 1
Direct
0.000 0.000 0.000
0.000 0.500 0.000
0.000 0.500 0.500
0.248 0.248 0.251
0.248 0.248 0.749
0.248 0.752 0.251
0.248 0.752 0.749
0.500 0.000 0.000
0.500 0.000 0.500
0.500 0.500 0.000
0.752 0.248 0.251
0.752 0.248 0.749
0.752 0.752 0.251
0.752 0.752 0.749
0.500 0.500 0.500
0.000 0.000 0.500
```

Computed properties:
N(E_F), states/eV per cell: 19.2
Formation energy, meV/atom: 17
Size of the total moment, μB/f.u.: 0.00
Raw total energy, eV per cell: -78.03


# 3
InIr2: relaxed, PBE.

Geometry as POSCAR:
```
InIr2
1.0
2.904 0.000 0.000
-1.452 2.515 0.000
0.000 0.000 6.713
In Ir
1 2
Direct
0.000 0.000 0.000
0.333 0.667 0.340
0.667 0.333 0.660
```

Computed properties:
N(E_F), states/eV per cell: 2.7
Formation energy, meV/atom: 210
Size of the total moment, μB/f.u.: 0.00
Raw total energy, eV per cell: -19.83


# 4
Li2SnP2O7: relaxed, PBE.

Geometry as POSCAR:
```
Li2SnP2O7
1.0
5.302 0.000 0.000
-2.603 6.568 0.000
-0.512 -3.483 8.924
Li Sn P O
4 2 4 14
Direct
0.095 0.338 0.014
0.354 0.626 0.811
0.646 0.374 0.189
0.905 0.662 0.986
0.202 0.141 0.352
0.798 0.859 0.648
0.264 0.612 0.340
0.483 0.147 0.853
0.517 0.853 0.147
0.736 0.388 0.660
0.011 0.383 0.702
0.193 0.110 0.883
0.280 0.393 0.239
0.287 0.659 0.022
0.360 0.661 0.506
0.463 0.063 0.186
0.495 0.198 0.698
0.505 0.802 0.302
0.537 0.937 0.814
0.640 0.339 0.494
0.713 0.341 0.978
0.720 0.607 0.761
0.807 0.890 0.117
0.989 0.617 0.298
```

Computed properties:
N(E_F), states/eV per cell: 0.0
Formation energy without anion corrections, eV/atom: -2.14
Size of the total moment, μB/f.u.: 0.00
ΔE to the lowest computed polymorph, meV per atom: 4
Raw total energy, eV per cell: -158.13


# 5
TmBiPd6: relaxed, PBE.

Geometry as POSCAR:
```
TmBiPd6
1.0
4.103 0.000 0.000
0.000 4.103 0.000
0.000 0.000 8.278
Tm Bi Pd
1 1 6
Direct
0.000 0.000 0.000
0.000 0.000 0.500
0.000 0.500 0.247
0.000 0.500 0.753
0.500 0.000 0.247
0.500 0.000 0.753
0.500 0.500 0.000
0.500 0.500 0.500
```

Computed properties:
N(E_F), states/eV per cell: 3.7
Formation energy, meV/atom: -587
Size of the total moment, μB/f.u.: 0.00
ΔE to the lowest computed polymorph, meV per atom: 0
Raw total energy, eV per cell: -44.21


# 6
HfTaV2: relaxed, PBE.

Geometry as POSCAR:
```
HfTaV2
1.0
4.567 0.000 0.000
0.000 4.567 0.000
0.000 0.000 3.220
Hf Ta V
1 1 2
Direct
0.000 0.000 0.000
0.500 0.500 0.000
0.000 0.500 0.500
0.500 0.000 0.500
```

Computed properties:
N(E_F), states/eV per cell: 8.1
Formation energy, meV/atom: 132
Size of the total moment, μB/f.u.: 1.07
ΔE to the lowest computed polymorph, meV per atom: 43
Raw total energy, eV per cell: -39.52


# 7
Ca2Pa2Se7: relaxed, PBE.

Geometry as POSCAR:
```
Ca2Pa2Se7
1.0
-2.092 7.498 4.483
2.092 -7.498 4.483
2.092 7.498 -4.483
Ca Pa Se
2 2 7
Direct
0.241 0.000 0.241
0.759 0.000 0.759
0.252 0.252 0.000
0.706 0.206 0.500
0.080 0.703 0.377
0.326 0.703 0.623
0.425 0.529 0.896
0.625 0.302 0.323
0.632 0.529 0.104
0.929 0.929 0.000
0.979 0.302 0.677
```

Computed properties:
Formation energy without anion corrections, eV/atom: -1.49
Size of the total moment, μB/f.u.: 0.13
ΔE to the lowest computed polymorph, meV per atom: 0
Raw total energy, eV per cell: -63.74


# 8
La2PdPt2: relaxed, PBE.

Geometry as POSCAR:
```
La2PdPt2
1.0
7.755 0.000 0.000
0.000 7.755 0.000
0.000 0.000 3.930
La Pd Pt
4 2 4
Direct
0.175 0.325 0.000
0.325 0.825 0.000
0.675 0.175 0.000
0.825 0.675 0.000
0.000 0.000 0.500
0.500 0.500 0.500
0.131 0.631 0.500
0.369 0.131 0.500
0.631 0.869 0.500
0.869 0.369 0.500
```

Computed properties:
N(E_F), states/eV per cell: 5.3
Formation energy, meV/atom: -1021
Size of the total moment, μB/f.u.: 0.00
ΔE to the lowest computed polymorph, meV per atom: 27
Raw total energy, eV per cell: -64.47


# 9
YGeS: relaxed, PBE.

Geometry as POSCAR:
```
YGeS
1.0
2.143 1.237 8.974
-2.143 1.237 8.974
0.000 -2.475 8.974
Y Ge S
2 2 2
Direct
0.094 0.094 0.094
0.906 0.906 0.906
0.351 0.351 0.351
0.649 0.649 0.649
0.205 0.205 0.205
0.795 0.795 0.795
```

Computed properties:
N(E_F), states/eV per cell: 1.4
Formation energy without anion corrections, eV/atom: -1.16
Size of the total moment, μB/f.u.: 0.00
Raw total energy, eV per cell: -37.35


# 10
YTa2SiRu: relaxed, PBE.

Geometry as POSCAR:
```
YTa2SiRu
1.0
4.905 0.000 0.000
0.000 4.905 0.000
0.000 0.000 4.544
Y Ta Si Ru
1 2 1 1
Direct
0.000 0.000 0.000
0.000 0.500 0.500
0.500 0.000 0.500
0.500 0.500 0.000
0.500 0.500 0.500
```

Computed properties:
N(E_F), states/eV per cell: 6.2
Formation energy without anion corrections, eV/atom: 0.55
Size of the total moment, μB/f.u.: 0.00
Raw total energy, eV per cell: -42.11


# 11
LaPrNi4: relaxed, PBE.

Geometry as POSCAR:
```
LaPrNi4
1.0
3.975 0.000 0.000
0.000 4.090 0.000
0.000 0.000 7.059
La Pr Ni
1 1 4
Direct
0.000 0.000 0.000
0.000 0.500 0.500
0.500 0.000 0.333
0.500 0.000 0.667
0.500 0.500 0.168
0.500 0.500 0.832
```

Computed properties:
N(E_F), states/eV per cell: 7.3
Formation energy, meV/atom: -306
Size of the total moment, μB/f.u.: 0.48
ΔE to the lowest computed polymorph, meV per atom: 0
Raw total energy, eV per cell: -34.67


# 12
LaTb3Nd6Tm2: relaxed, PBE.

Geometry as POSCAR:
```
LaTb3Nd6Tm2
1.0
3.146 -5.449 0.000
3.146 5.449 0.000
-2.097 0.000 11.780
La Tb Nd Tm
1 3 6 2
Direct
0.000 0.000 0.000
0.167 0.833 0.500
0.500 0.500 0.500
0.833 0.167 0.500
0.084 0.419 0.251
0.250 0.250 0.749
0.419 0.084 0.251
0.581 0.916 0.749
0.750 0.750 0.251
0.916 0.581 0.749
0.334 0.666 0.000
0.666 0.334 0.000
```

Computed properties:
N(E_F), states/eV per cell: 15.4
Formation energy, meV/atom: 18
Size of the total moment, μB/f.u.: 0.00
Raw total energy, eV per cell: -56.16


# 13
ZnCoH2: relaxed, PBE.

Geometry as POSCAR:
```
ZnCoH2
1.0
0.000 2.470 2.470
2.470 0.000 2.470
2.470 2.470 0.000
Zn Co H
1 1 2
Direct
0.000 0.000 0.000
0.500 0.500 0.500
0.250 0.250 0.250
0.750 0.750 0.750
```

Computed properties:
N(E_F), states/eV per cell: 1.4
Size of the total moment, μB/f.u.: 0.00
ΔE to the lowest computed polymorph, meV per atom: 474
Raw total energy, eV per cell: -12.94


# 14
DyThBi2: relaxed, PBE.

Geometry as POSCAR:
```
DyThBi2
1.0
3.941 -2.272 0.000
3.941 2.272 0.000
-2.617 0.000 7.371
Dy Th Bi
1 1 2
Direct
0.000 0.000 0.000
0.500 0.500 0.500
0.253 0.253 0.760
0.747 0.747 0.240
```

Computed properties:
N(E_F), states/eV per cell: 2.2
Formation energy, meV/atom: -710
Size of the total moment, μB/f.u.: 0.00
ΔE to the lowest computed polymorph, meV per atom: 0
Raw total energy, eV per cell: -22.62


# 15
PuPaAlOs: relaxed, PBE.

Geometry as POSCAR:
```
PuPaAlOs
1.0
0.000 3.375 3.375
3.375 0.000 3.375
3.375 3.375 0.000
Pu Pa Al Os
1 1 1 1
Direct
0.000 0.000 0.000
0.250 0.250 0.250
0.750 0.750 0.750
0.500 0.500 0.500
```

Computed properties:
N(E_F), states/eV per cell: 7.0
Formation energy, meV/atom: -228
Size of the total moment, μB/f.u.: 6.03
Raw total energy, eV per cell: -39.71


# 16
Co2P2N: relaxed, PBE.

Geometry as POSCAR:
```
Co2P2N
1.0
3.353 0.000 0.000
-1.410 3.379 0.000
-1.312 -1.203 5.764
Co P N
2 2 1
Direct
0.000 0.000 0.000
0.101 0.951 0.601
0.700 0.386 0.104
0.828 0.368 0.728
0.986 0.805 0.291
```

Computed properties:
N(E_F), states/eV per cell: 3.8
Formation energy without anion corrections, eV/atom: -0.01
Size of the total moment, μB/f.u.: 0.00
ΔE to the lowest computed polymorph, meV per atom: 258
Raw total energy, eV per cell: -33.38


# 17
Sr2LiLaNi: relaxed, PBE.

Geometry as POSCAR:
```
Sr2LiLaNi
1.0
6.025 0.000 0.000
0.000 6.025 0.000
0.000 0.000 5.264
Sr Li La Ni
2 1 1 1
Direct
0.000 0.500 0.000
0.500 0.000 0.000
0.000 0.000 0.500
0.500 0.500 0.500
0.500 0.500 0.000
```

Computed properties:
N(E_F), states/eV per cell: 3.3
Formation energy, meV/atom: 2
Size of the total moment, μB/f.u.: 0.00
Raw total energy, eV per cell: -15.98


# 18
PrRuF: relaxed, PBE.

Geometry as POSCAR:
```
PrRuF
1.0
3.715 0.000 0.000
0.000 3.973 0.000
-1.457 0.000 7.817
Pr Ru F
2 2 2
Direct
0.169 0.250 0.289
0.831 0.750 0.711
0.326 0.250 0.958
0.674 0.750 0.042
0.254 0.750 0.499
0.746 0.250 0.501
```

Computed properties:
N(E_F), states/eV per cell: 4.4
Formation energy without anion corrections, eV/atom: -1.63
Size of the total moment, μB/f.u.: 0.00
Raw total energy, eV per cell: -41.65


# 19
PmErMgNi: relaxed, PBE.

Geometry as POSCAR:
```
PmErMgNi
1.0
0.000 3.602 3.602
3.602 0.000 3.602
3.602 3.602 0.000
Pm Er Mg Ni
1 1 1 1
Direct
0.000 0.000 0.000
0.500 0.500 0.500
0.750 0.750 0.750
0.250 0.250 0.250
```

Computed properties:
N(E_F), states/eV per cell: 3.4
Formation energy, meV/atom: -90
Size of the total moment, μB/f.u.: 0.00
Raw total energy, eV per cell: -17.05


# 20
CePuSe2: relaxed, PBE.

Geometry as POSCAR:
```
CePuSe2
1.0
0.000 3.619 3.619
3.619 0.000 3.619
3.619 3.619 0.000
Ce Pu Se
1 1 2
Direct
0.000 0.000 0.000
0.500 0.500 0.500
0.250 0.250 0.250
0.750 0.750 0.750
```

Computed properties:
N(E_F), states/eV per cell: 8.5
Formation energy without anion corrections, eV/atom: -1.47
Size of the total moment, μB/f.u.: 7.89
ΔE to the lowest computed polymorph, meV per atom: 208
Raw total energy, eV per cell: -33.10


# 21
NaSb3: relaxed, PBE.

Geometry as POSCAR:
```
NaSb3
1.0
-1.630 5.729 2.954
1.630 -5.729 2.954
1.630 5.729 -2.954
Na Sb
1 3
Direct
0.000 0.000 0.000
0.019 0.756 0.263
0.494 0.756 0.737
0.502 0.002 0.500
```

Computed properties:
N(E_F), states/eV per cell: 1.2
Formation energy without anion corrections, eV/atom: -0.05
Size of the total moment, μB/f.u.: 0.00
Raw total energy, eV per cell: -13.89


# 22
LuThCuIr: relaxed, PBE.

Geometry as POSCAR:
```
LuThCuIr
1.0
0.000 3.495 3.495
3.495 0.000 3.495
3.495 3.495 0.000
Lu Th Cu Ir
1 1 1 1
Direct
0.000 0.000 0.000
0.500 0.500 0.500
0.750 0.750 0.750
0.250 0.250 0.250
```

Computed properties:
N(E_F), states/eV per cell: 1.5
Formation energy, meV/atom: -569
Size of the total moment, μB/f.u.: 0.00
Raw total energy, eV per cell: -27.18


# 23
Ac2InSi3Pt4: relaxed, PBE.

Geometry as POSCAR:
```
Ac2InSi3Pt4
1.0
4.439 0.000 0.000
0.000 4.439 0.000
0.000 0.000 10.368
Ac In Si Pt
2 1 3 4
Direct
0.000 0.500 0.244
0.500 0.000 0.756
0.000 0.000 0.500
0.000 0.500 0.882
0.500 0.000 0.118
0.500 0.500 0.500
0.000 0.000 0.000
0.000 0.500 0.647
0.500 0.000 0.353
0.500 0.500 0.000
```

Computed properties:
N(E_F), states/eV per cell: 3.8
Formation energy without anion corrections, eV/atom: -0.97
Size of the total moment, μB/f.u.: 0.00
Raw total energy, eV per cell: -61.07


# 24
RhBrNO2: relaxed, PBE.

Geometry as POSCAR:
```
RhBrNO2
1.0
3.672 0.000 0.000
0.000 3.672 0.000
0.000 0.000 4.750
Rh Br N O
1 1 1 2
Direct
0.000 0.000 0.000
0.500 0.500 0.500
0.500 0.500 0.000
0.000 0.500 0.500
0.500 0.000 0.500
```

Computed properties:
N(E_F), states/eV per cell: 4.5
Formation energy without anion corrections, eV/atom: 1.64
Size of the total moment, μB/f.u.: 1.87
Raw total energy, eV per cell: -19.05


# 25
CdSn2PF: relaxed, PBE.

Geometry as POSCAR:
```
CdSn2PF
1.0
4.949 0.000 0.000
0.000 4.949 0.000
0.000 0.000 4.641
Cd Sn P F
1 2 1 1
Direct
0.000 0.000 0.000
0.000 0.500 0.500
0.500 0.000 0.500
0.500 0.500 0.000
0.500 0.500 0.500
```

Computed properties:
N(E_F), states/eV per cell: 2.8
Formation energy without anion corrections, eV/atom: -0.02
Size of the total moment, μB/f.u.: 0.00
Raw total energy, eV per cell: -16.28


# 26
InCo2As: relaxed, PBE.

Geometry as POSCAR:
```
InCo2As
1.0
-3.347 3.347 2.850
3.347 -3.347 2.850
3.347 3.347 -2.850
In Co As
2 4 2
Direct
0.000 0.000 0.000
0.750 0.250 0.500
0.183 0.125 0.558
0.375 0.817 0.942
0.567 0.625 0.442
0.875 0.433 0.058
0.250 0.750 0.500
0.500 0.500 0.000
```

Computed properties:
N(E_F), states/eV per cell: 4.5
Formation energy, meV/atom: 281
Size of the total moment, μB/f.u.: 0.00
ΔE to the lowest computed polymorph, meV per atom: 253
Raw total energy, eV per cell: -40.95